Density functional theory data (GGA-PBE) for a relaxed structure of CaSiHg.

abc: 8.263 3.802 5.611
angles: 89.99 57.01 76.69
Element x y z (fractional)
Si  0.082  0.509  0.830
Hg  0.747  0.177  0.097
Si  0.152  0.974  0.033
Hg  0.487  0.307  0.766
Ca  0.364  0.868  0.348
Ca  0.870  0.615  0.515

Properties
magnetic moment: 0.0 μB/cell
D(E_F): 1.054 states/eV/f.u.
formation energy (no corrections): -0.37 eV per atom